{"formula": "SrHgI2", "functional": "PBE", "state": "relaxed", "lattice_angstrom": [[4.8042, 0.0000, 0.0000], [2.4021, 4.1606, 0.0000], [2.4021, 1.3869, 10.4841]], "species": ["Sr", "Hg", "I", "I"], "frac_coords": [[0.6666, 0.6666, 0.0002], [0.5001, 0.5001, 0.4996], [0.0575, 0.0575, 0.8276], [0.2758, 0.2758, 0.1726]], "polymorph_energy_ev_per_atom": 0.0005, "energy_ev_per_atom": -2.52, "raw_formation_energy_ev_per_atom": -1.247}

---

{"formula": "Sr2HgI2", "functional": "PBE", "state": "relaxed", "lattice_angstrom": [[6.3281, 0.0000, 0.0000], [0.0000, 6.3281, 0.0000], [3.1640, 3.1640, 5.3961]], "species": ["I", "I", "Sr", "Sr", "Hg"], "frac_coords": [[0.3305, 0.3305, 0.3391], [0.6695, 0.6695, 0.6609], [0.7500, 0.2500, 0.5000], [0.2500, 0.7500, 0.5000], [0.0000, 0.0000, 0.0000]], "polymorph_energy_ev_per_atom": 0.1382, "energy_ev_per_atom": -2.14, "raw_formation_energy_ev_per_atom": -0.790}

---

{"formula": "SrHgI3", "functional": "PBE", "state": "relaxed", "lattice_angstrom": [[6.4679, 0.0000, 0.0000], [0.0000, 6.4679, 0.0000], [0.0000, 0.0000, 6.4679]], "species": ["I", "I", "I", "Sr", "Hg"], "frac_coords": [[0.0000, 0.5000, 0.0000], [0.0000, 0.0000, 0.5000], [0.5000, 0.0000, 0.0000], [0.0000, 0.0000, 0.0000], [0.5000, 0.5000, 0.5000]], "polymorph_energy_ev_per_atom": 0.0000, "energy_ev_per_atom": -2.11, "raw_formation_energy_ev_per_atom": -0.780}

---

{"formula": "Sr2HgI", "functional": "PBE", "state": "relaxed", "lattice_angstrom": [[-2.9644, -0.4424, -2.6854], [2.6886, -1.0926, -2.7879], [-0.9309, -8.4759, 2.4240]], "species": ["I", "Sr", "Sr", "Hg"], "frac_coords": [[0.5000, 0.5000, 0.5000], [0.0000, 0.0000, 0.7803], [0.0000, 0.0000, 0.2197], [0.5000, 0.5000, 0.0000]], "polymorph_energy_ev_per_atom": 0.0537, "energy_ev_per_atom": -2.11, "raw_formation_energy_ev_per_atom": -0.810}

---

{"formula": "SrHgI2", "functional": "PBE", "state": "relaxed", "lattice_angstrom": [[-4.1252, -0.5180, -8.7783], [-8.0918, -3.5721, 4.0134], [-7.6245, 1.9262, -1.9044]], "species": ["I", "I", "I", "I", "Sr", "Sr", "Hg", "Hg"], "frac_coords": [[0.5578, 0.1250, 0.2500], [0.1922, 0.6250, 0.2500], [0.3750, 0.4422, 0.7500], [0.8750, 0.8078, 0.7500], [0.5000, 0.5000, 0.0000], [0.2500, 0.7500, 0.5000], [0.0000, 0.0000, 0.0000], [0.7500, 0.2500, 0.5000]], "polymorph_energy_ev_per_atom": 0.1343, "energy_ev_per_atom": -2.38, "raw_formation_energy_ev_per_atom": -1.114}

---

{"formula": "Sr2HgI6", "functional": "PBE", "state": "relaxed", "lattice_angstrom": [[-3.2200, -6.3255, -4.5563], [-0.4715, -4.4878, 6.5637], [-10.3481, 4.9399, 0.4552]], "species": ["Sr", "Sr", "Sr", "Sr", "Hg", "Hg", "I", "I", "I", "I", "I", "I", "I", "I", "I", "I", "I", "I"], "frac_coords": [[0.6120, 0.0644, 0.2203], [0.1120, 0.4356, 0.2797], [0.8880, 0.5644, 0.7203], [0.3880, 0.9356, 0.7797], [0.5000, 0.5000, 0.0000], [0.0000, 0.0000, 0.5000], [0.0551, 0.1631, 0.7335], [0.3291, 0.1775, 0.4162], [0.3128, 0.1748, 0.0547], [0.8128, 0.3252, 0.4453], [0.8291, 0.3225, 0.0838], [0.5551, 0.3369, 0.7665], [0.9449, 0.8369, 0.2665], [0.6709, 0.8225, 0.5838], [0.6872, 0.8252, 0.9453], [0.1872, 0.6748, 0.5547], [0.1709, 0.6775, 0.9162], [0.4449, 0.6631, 0.2335]], "energy_ev_per_atom": -2.62, "raw_formation_energy_ev_per_atom": -1.177}

---

{"formula": "SrHgI2", "functional": "PBE", "state": "relaxed", "lattice_angstrom": [[0.0000, 4.1755, 4.1755], [4.1755, 0.0000, 4.1755], [4.1755, 4.1755, 0.0000]], "species": ["I", "I", "Sr", "Hg"], "frac_coords": [[0.2500, 0.2500, 0.2500], [0.7500, 0.7500, 0.7500], [0.0000, 0.0000, 0.0000], [0.5000, 0.5000, 0.5000]], "polymorph_energy_ev_per_atom": 0.1356, "energy_ev_per_atom": -2.38, "raw_formation_energy_ev_per_atom": -1.112}

---

{"formula": "SrHg2I2", "functional": "PBE", "state": "relaxed", "lattice_angstrom": [[8.5808, 0.0000, 0.0000], [0.0000, 8.5808, 0.0000], [0.0000, 0.0000, 6.7725]], "species": ["I", "I", "I", "I", "Sr", "Sr", "Hg", "Hg", "Hg", "Hg"], "frac_coords": [[0.3299, 0.8299, 0.0000], [0.8299, 0.6701, 0.0000], [0.6701, 0.1701, 0.0000], [0.1701, 0.3299, 0.0000], [0.0000, 0.0000, 0.0000], [0.5000, 0.5000, 0.0000], [0.1380, 0.6380, 0.5000], [0.6380, 0.8620, 0.5000], [0.8620, 0.3620, 0.5000], [0.3620, 0.1380, 0.5000]], "polymorph_energy_ev_per_atom": 0.0756, "energy_ev_per_atom": -1.88, "raw_formation_energy_ev_per_atom": -0.805}

---

{"formula": "Sr3HgI6", "functional": "PBE", "state": "relaxed", "lattice_angstrom": [[-0.7197, 4.5736, -1.2437], [-10.7279, -3.6192, -7.1011], [-5.2488, 3.5161, 15.9679]], "species": ["Sr", "Sr", "Sr", "Sr", "Sr", "Sr", "Hg", "Hg", "I", "I", "I", "I", "I", "I", "I", "I", "I", "I", "I", "I"], "frac_coords": [[0.7500, 0.3958, 0.5701], [0.2500, 0.6042, 0.4299], [0.7500, 0.8113, 0.2891], [0.2500, 0.1887, 0.7109], [0.7500, 0.9889, 0.8681], [0.2500, 0.0111, 0.1319], [0.7500, 0.5618, 0.9546], [0.2500, 0.4382, 0.0454], [0.7500, 0.1485, 0.5716], [0.2500, 0.8515, 0.4284], [0.7500, 0.1363, 0.0632], [0.2500, 0.8637, 0.9368], [0.7500, 0.6438, 0.5693], [0.2500, 0.3562, 0.4307], [0.7500, 0.5628, 0.2908], [0.2500, 0.4372, 0.7092], [0.7500, 0.2311, 0.8493], [0.2500, 0.7689, 0.1507], [0.7500, 0.0513, 0.2745], [0.2500, 0.9487, 0.7255]], "energy_ev_per_atom": -2.98, "raw_formation_energy_ev_per_atom": -1.511}

---

{"formula": "SrHgI2", "functional": "PBE", "state": "relaxed", "lattice_angstrom": [[-2.6200, -4.0225, -0.1403], [2.1377, -4.2755, 0.4639], [-1.4670, -2.2812, 10.5966]], "species": ["I", "I", "Sr", "Hg"], "frac_coords": [[0.2764, 0.2764, 0.1709], [0.7236, 0.7236, 0.8291], [0.0000, 0.0000, 0.0000], [0.5000, 0.5000, 0.5000]], "polymorph_energy_ev_per_atom": 0.0000, "energy_ev_per_atom": -2.52, "raw_formation_energy_ev_per_atom": -1.248}

---

{"formula": "SrHgI3", "functional": "PBE", "state": "relaxed", "lattice_angstrom": [[5.9920, 0.0000, 0.0000], [0.0000, 5.9920, 0.0000], [0.0000, 0.0000, 5.9920]], "species": ["I", "I", "I", "Sr", "Hg"], "frac_coords": [[0.0000, 0.5000, 0.0000], [0.0000, 0.0000, 0.5000], [0.5000, 0.0000, 0.0000], [0.5000, 0.5000, 0.5000], [0.0000, 0.0000, 0.0000]], "polymorph_energy_ev_per_atom": 0.1577, "energy_ev_per_atom": -1.95, "raw_formation_energy_ev_per_atom": -0.622}

---

{"formula": "SrHg2I6", "functional": "PBE", "state": "relaxed", "lattice_angstrom": [[8.0678, -0.3756, -0.3636], [1.8774, 10.1172, 0.0533], [1.8774, 0.3811, 10.1101]], "species": ["Sr", "Sr", "Hg", "Hg", "Hg", "Hg", "I", "I", "I", "I", "I", "I", "I", "I", "I", "I", "I", "I"], "frac_coords": [[0.2500, 0.1063, 0.8937], [0.7500, 0.8937, 0.1063], [0.1878, 0.6007, 0.7605], [0.3122, 0.2395, 0.3993], [0.8122, 0.3993, 0.2395], [0.6878, 0.7605, 0.6007], [0.3674, 0.7250, 0.5367], [0.1326, 0.4633, 0.2750], [0.6326, 0.2750, 0.4633], [0.8674, 0.5367, 0.7250], [0.8977, 0.8643, 0.3891], [0.6023, 0.6109, 0.1357], [0.1023, 0.1357, 0.6109], [0.3977, 0.3891, 0.8643], [0.1367, 0.8019, 0.9622], [0.3633, 0.0378, 0.1981], [0.8633, 0.1981, 0.0378], [0.6367, 0.9622, 0.8019]], "polymorph_energy_ev_per_atom": 0.0000, "energy_ev_per_atom": -2.03, "raw_formation_energy_ev_per_atom": -0.738}

---

{"formula": "SrHg2I2", "functional": "PBE", "state": "relaxed", "lattice_angstrom": [[6.7229, 0.0000, 0.0000], [0.0000, 6.7229, 0.0000], [3.3614, 3.3614, 4.5802]], "species": ["I", "I", "Sr", "Hg", "Hg"], "frac_coords": [[0.7500, 0.2500, 0.5000], [0.2500, 0.7500, 0.5000], [0.0000, 0.0000, 0.0000], [0.3457, 0.3457, 0.3085], [0.6543, 0.6543, 0.6915]], "polymorph_energy_ev_per_atom": 0.2527, "energy_ev_per_atom": -1.71, "raw_formation_energy_ev_per_atom": -0.628}

---

{"formula": "Sr4HgI8", "functional": "PBE", "state": "relaxed", "lattice_angstrom": [[4.7644, 0.0000, 1.0320], [2.1199, 11.4425, 1.7267], [-0.1729, 0.2669, 12.3120]], "species": ["Sr", "Sr", "Sr", "Sr", "Hg", "I", "I", "I", "I", "I", "I", "I", "I"], "frac_coords": [[0.3700, 0.8297, 0.4303], [0.8556, 0.4944, 0.7944], [0.1747, 0.5100, 0.1406], [0.6603, 0.1749, 0.5045], [0.5227, 0.9950, 0.9595], [0.1388, 0.3386, 0.3838], [0.5539, 0.6798, 0.2124], [0.4764, 0.3245, 0.7226], [0.8912, 0.6662, 0.5514], [0.8469, 0.9958, 0.3105], [0.2313, 0.6535, 0.8839], [0.1835, 0.0087, 0.6243], [0.7990, 0.3509, 0.0511]], "energy_ev_per_atom": -3.05, "raw_formation_energy_ev_per_atom": -1.557}

---

{"formula": "Sr2HgI2", "functional": "PBE", "state": "relaxed", "lattice_angstrom": [[-3.9306, -3.2775, -2.1078], [3.3553, -1.3240, -4.1980], [2.4795, -8.2480, 0.9344]], "species": ["I", "I", "Sr", "Sr", "Hg"], "frac_coords": [[0.7500, 0.2500, 0.5000], [0.2500, 0.7500, 0.5000], [0.3731, 0.3731, 0.2538], [0.6269, 0.6269, 0.7462], [0.0000, 0.0000, 0.0000]], "polymorph_energy_ev_per_atom": 0.0333, "energy_ev_per_atom": -2.25, "raw_formation_energy_ev_per_atom": -0.895}

---

{"formula": "Sr2HgI", "functional": "PBE", "state": "relaxed", "lattice_angstrom": [[-2.3454, 3.7795, 0.5670], [-2.7627, 1.4301, -3.2295], [-8.4532, -3.0040, 2.7880]], "species": ["Sr", "Sr", "Hg", "I"], "frac_coords": [[0.0743, 0.0743, 0.7770], [0.2598, 0.2598, 0.2207], [0.6674, 0.6674, 0.9978], [0.4985, 0.4985, 0.5046]], "polymorph_energy_ev_per_atom": 0.0202, "energy_ev_per_atom": -2.15, "raw_formation_energy_ev_per_atom": -0.844}

---

{"formula": "Sr2HgI", "functional": "PBE", "state": "relaxed", "lattice_angstrom": [[-2.3120, 0.5650, 5.3962], [-4.8839, -2.9752, 1.4420], [0.2981, -4.4834, 3.8201]], "species": ["I", "Sr", "Sr", "Hg"], "frac_coords": [[0.0000, 0.0000, 0.0000], [0.2500, 0.2500, 0.2500], [0.7500, 0.7500, 0.7500], [0.5000, 0.5000, 0.5000]], "polymorph_energy_ev_per_atom": 0.2386, "energy_ev_per_atom": -1.93, "raw_formation_energy_ev_per_atom": -0.625}

---

{"formula": "Sr2HgI", "functional": "PBE", "state": "relaxed", "lattice_angstrom": [[4.5161, 0.0000, 0.0000], [2.2581, 3.9111, 0.0000], [2.2581, 1.3037, 8.8472]], "species": ["I", "Sr", "Sr", "Hg"], "frac_coords": [[0.5000, 0.5000, 0.5000], [0.7414, 0.7414, 0.7759], [0.2586, 0.2586, 0.2241], [0.0000, 0.0000, 0.0000]], "polymorph_energy_ev_per_atom": 0.0000, "energy_ev_per_atom": -2.17, "raw_formation_energy_ev_per_atom": -0.864}

---

{"formula": "Sr2HgI", "functional": "PBE", "state": "relaxed", "lattice_angstrom": [[8.7540, 0.0000, 0.0000], [0.0000, 8.7540, 0.0000], [4.3770, 4.3770, 4.4057]], "species": ["I", "I", "Sr", "Sr", "Sr", "Sr", "Hg", "Hg"], "frac_coords": [[0.5000, 0.5000, 0.0000], [0.2500, 0.7500, 0.5000], [0.6382, 0.1250, 0.2500], [0.1118, 0.6250, 0.2500], [0.3750, 0.3618, 0.7500], [0.8750, 0.8882, 0.7500], [0.0000, 0.0000, 0.0000], [0.7500, 0.2500, 0.5000]], "polymorph_energy_ev_per_atom": 0.1963, "energy_ev_per_atom": -1.97, "raw_formation_energy_ev_per_atom": -0.668}

---

{"formula": "Sr2HgI2", "functional": "PBE", "state": "relaxed", "lattice_angstrom": [[8.8559, 0.0000, 0.0000], [0.0000, 8.8559, 0.0000], [0.0000, 0.0000, 5.0976]], "species": ["I", "I", "I", "I", "Sr", "Sr", "Sr", "Sr", "Hg", "Hg"], "frac_coords": [[0.1515, 0.6515, 0.5000], [0.6515, 0.8485, 0.5000], [0.8485, 0.3485, 0.5000], [0.3485, 0.1515, 0.5000], [0.3321, 0.8321, 0.0000], [0.8321, 0.6679, 0.0000], [0.6679, 0.1679, 0.0000], [0.1679, 0.3321, 0.0000], [0.0000, 0.0000, 0.0000], [0.5000, 0.5000, 0.0000]], "polymorph_energy_ev_per_atom": 0.0000, "energy_ev_per_atom": -2.28, "raw_formation_energy_ev_per_atom": -0.928}

---

{"formula": "SrHg2I6", "functional": "PBE", "state": "relaxed", "lattice_angstrom": [[-1.7637, 4.2644, 0.3435], [-6.8976, -5.4351, 0.8632], [6.2630, 1.7065, 10.9543]], "species": ["Sr", "Hg", "Hg", "I", "I", "I", "I", "I", "I"], "frac_coords": [[0.0000, 0.0000, 0.0000], [0.8023, 0.6042, 0.2841], [0.1977, 0.3958, 0.7159], [0.3420, 0.6837, 0.4289], [0.6580, 0.3163, 0.5711], [0.1458, 0.2915, 0.8964], [0.6096, 0.2190, 0.1875], [0.8542, 0.7085, 0.1036], [0.3904, 0.7810, 0.8125]], "polymorph_energy_ev_per_atom": 0.0338, "energy_ev_per_atom": -1.99, "raw_formation_energy_ev_per_atom": -0.704}

---

{"formula": "SrHgI2", "functional": "PBE", "state": "relaxed", "lattice_angstrom": [[-1.6441, 0.7866, 3.6974], [-3.3161, -2.2357, -0.9988], [4.5304, -8.4198, 3.8058]], "species": ["I", "I", "Sr", "Hg"], "frac_coords": [[0.0000, 0.0000, 0.8144], [0.0000, 0.0000, 0.1856], [0.5000, 0.5000, 0.0000], [0.5000, 0.5000, 0.5000]], "polymorph_energy_ev_per_atom": 0.1024, "energy_ev_per_atom": -2.42, "raw_formation_energy_ev_per_atom": -1.145}

---

{"formula": "SrTcHgI2", "functional": "PBE", "state": "relaxed", "lattice_angstrom": [[6.2820, 0.0000, 0.0000], [0.0000, 6.6587, 0.0000], [0.0000, 0.0000, 6.2820]], "species": ["I", "I", "Sr", "Hg", "Tc"], "frac_coords": [[0.0000, 0.0000, 0.5000], [0.5000, 0.0000, 0.0000], [0.0000, 0.0000, 0.0000], [0.0000, 0.5000, 0.0000], [0.5000, 0.5000, 0.5000]], "energy_ev_per_atom": -2.64, "raw_formation_energy_ev_per_atom": 0.446}

---

{"formula": "SrTl2HgI6", "functional": "PBE", "state": "relaxed", "lattice_angstrom": [[-6.7150, -2.5829, -5.2286], [-1.8752, -8.2828, -1.7350], [-7.9624, -2.5944, 3.3370]], "species": ["Sr", "Tl", "Tl", "Hg", "I", "I", "I", "I", "I", "I"], "frac_coords": [[0.8209, 0.8147, 0.5328], [0.5154, 0.5238, 0.4552], [0.0224, 0.0868, 0.8929], [0.3280, 0.2289, 0.1294], [0.5807, 0.1633, 0.2839], [0.1946, 0.9441, 0.2500], [0.9944, 0.5796, 0.2061], [0.4608, 0.7110, 0.7523], [0.6523, 0.1307, 0.7834], [0.0919, 0.4786, 0.7292]], "energy_ev_per_atom": -2.41, "raw_formation_energy_ev_per_atom": -0.812}